[1]
Y7Zn2Ni2 | PBE-GGA | relaxed

Cell lengths 6.693, 6.919, 6.693 Å; angles 90.00, 110.75, 90.00 degrees
Fractional coordinates of all 11 atoms:
Y 0.000 0.255 0.500
Y 0.500 0.745 0.000
Y 0.000 0.745 0.500
Y 0.500 0.255 0.000
Y 0.000 0.000 0.000
Y 0.500 0.752 0.500
Y 0.500 0.248 0.500
Zn 0.834 0.500 0.834
Zn 0.166 0.500 0.166
Ni 0.702 0.000 0.298
Ni 0.298 0.000 0.702

Calculated values
As for the calculated formation energy: -0.141 eV/atom. The calculation puts the energy at -5.537 eV/atom. The density of states at the Fermi level is 12.9 states/eV/f.u.



[2]
Sr2YCd2 | PBE-GGA | relaxed

Cell lengths 9.481, 9.481, 3.666 Å; angles 90.00, 90.00, 90.00 degrees
Fractional coordinates of all 10 atoms:
Y 0.000 0.000 0.000
Y 0.500 0.500 0.000
Sr 0.363 0.863 0.000
Sr 0.863 0.637 0.000
Sr 0.637 0.137 0.000
Sr 0.137 0.363 0.000
Cd 0.162 0.662 0.500
Cd 0.662 0.838 0.500
Cd 0.838 0.338 0.500
Cd 0.338 0.162 0.500

Calculated values
As for the calculated formation energy: -0.035 eV/atom. The energy above the most stable polymorph in this dataset is 0.651 eV per formula unit. The calculation puts the energy at -2.367 eV/atom. The density of states at the Fermi level is 2.7 states/eV/f.u.